{
  "formula": "Na2TiMnO4",
  "functional": "PBE+U",
  "state": "optimized geometry",
  "cell": [[3.033, 0.000, 0.000], [0.000, 5.210, 0.070], [0.000, -1.844, 5.399]],
  "species": ["Na", "Na", "Ti", "Mn", "O", "O", "O", "O"],
  "frac_coords": [[0.500, 0.000, 0.500], [0.000, 0.500, 0.500], [0.000, 0.000, 0.000], [0.500, 0.500, 0.000], [0.500, 0.221, 0.204], [0.500, 0.779, 0.796], [0.000, 0.256, 0.800], [0.000, 0.744, 0.200]],
  "dos_ef_per_ev_atom": 0.13,
  "total_energy_ev_per_atom": -6.6328,
  "space_group": "P2/m, No. 10"
}